# RbCrClO3 (GGA+U, relaxed)
# E_tot: -5.58 eV per atom
# total magnetic moment: 0.00 μB per atom
# N(E_F): 0.000 states/eV/atom
# volume: 22.37 A^3/atom
data_RbCrClO3
_chemical_formula_sum 'Rb4 Cr4 Cl4 O12'
_symmetry_space_group_name_H-M 'P 1'
_symmetry_Int_Tables_number 1
_cell_length_a 7.729
_cell_length_b 8.232
_cell_length_c 8.443
_cell_angle_alpha 87.84
_cell_angle_beta 90.00
_cell_angle_gamma 90.00
loop_
_symmetry_equiv_pos_as_xyz
'x,y,z'
loop_
_atom_site_label
_atom_site_fract_x
_atom_site_fract_y
_atom_site_fract_z
O1 0.755 0.615 0.923
Rb1 0.637 0.859 0.176
O2 0.255 0.885 0.077
Rb2 0.363 0.141 0.824
O3 0.245 0.385 0.077
Cl1 0.767 0.656 0.557
Cl2 0.733 0.156 0.557
Cl3 0.233 0.344 0.443
O4 0.010 0.979 0.772
O5 0.490 0.479 0.772
O6 0.503 0.799 0.797
Cr1 0.882 0.135 0.777
Cl4 0.267 0.844 0.443
O7 0.990 0.021 0.228
O8 0.497 0.201 0.203
Cr2 0.118 0.865 0.223
O9 0.997 0.299 0.797
O10 0.003 0.701 0.203
Rb3 0.863 0.359 0.176
Cr3 0.382 0.365 0.223
O11 0.745 0.115 0.923
O12 0.510 0.521 0.228
Cr4 0.618 0.635 0.777
Rb4 0.137 0.641 0.824